DFT (PBE) results for crystalline K2TaBeV at its relaxed geometry.

POSCAR file:
```
K2TaBeV
1.0
-1.800 0.059 -6.127
-4.381 -0.696 1.280
-0.908 6.313 0.328
Be K V Ta
1 2 1 1
Cartesian
-2.190 -0.348 0.640
-0.454 3.157 0.164
-0.900 0.030 -3.064
-3.544 2.838 -2.260
0.000 0.000 0.000
```

Output
The size of the total moment is 1.5 μB per formula unit. For the volume, the calculation gives 37.66 Å³ per atom. The calculated formation energy is 2.1405 eV per atom. The raw total energy is -0.1190 hartree per atom.